[1]
{"formula": "Ba2TiS4", "functional": "meta-GGA SCAN", "state": "PBEsol geometry", "cell": [[9.0399, 0.0000, 0.0000], [0.0000, 6.7211, 0.0000], [0.0000, 0.0000, 12.2869]], "species": ["Ba", "Ba", "Ba", "Ba", "Ba", "Ba", "Ba", "Ba", "Ti", "Ti", "Ti", "Ti", "S", "S", "S", "S", "S", "S", "S", "S", "S", "S", "S", "S", "S", "S", "S", "S"], "frac_coords": [[0.0243, 0.2500, 0.1721], [0.1320, 0.7500, 0.4194], [0.3680, 0.2500, 0.9194], [0.4757, 0.7500, 0.6721], [0.5243, 0.2500, 0.3279], [0.6320, 0.7500, 0.0806], [0.8680, 0.2500, 0.5806], [0.9757, 0.7500, 0.8279], [0.2282, 0.7500, 0.0737], [0.2718, 0.2500, 0.5737], [0.7282, 0.7500, 0.4263], [0.7718, 0.2500, 0.9263], [0.0191, 0.2500, 0.9065], [0.1663, 0.5115, 0.6512], [0.1663, 0.9885, 0.6512], [0.1913, 0.2500, 0.4008], [0.3087, 0.7500, 0.9008], [0.3337, 0.0115, 0.1512], [0.3337, 0.4885, 0.1512], [0.4809, 0.7500, 0.4065], [0.5191, 0.2500, 0.5935], [0.6663, 0.5115, 0.8488], [0.6663, 0.9885, 0.8488], [0.6913, 0.2500, 0.0992], [0.8087, 0.7500, 0.5992], [0.8337, 0.0115, 0.3488], [0.8337, 0.4885, 0.3488], [0.9809, 0.7500, 0.0935]], "e_tot_ev_per_atom": -21.173, "raw_formation_energy_ev_per_atom": -2.0813, "spacegroup": "Pnma (62)"}

=====

[2]
{"formula": "Ta2FeSb", "functional": "meta-GGA SCAN", "state": "PBEsol geometry", "cell": [[6.4038, 0.0000, 0.0000], [0.0000, 6.4038, 0.0000], [0.0000, 0.0000, 6.4038]], "species": ["Ta", "Ta", "Ta", "Ta", "Ta", "Ta", "Ta", "Ta", "Fe", "Fe", "Fe", "Fe", "Sb", "Sb", "Sb", "Sb"], "frac_coords": [[0.0000, 0.0000, 0.0000], [0.0000, 0.5000, 0.5000], [0.2500, 0.2500, 0.2500], [0.2500, 0.7500, 0.7500], [0.5000, 0.0000, 0.5000], [0.5000, 0.5000, 0.0000], [0.7500, 0.2500, 0.7500], [0.7500, 0.7500, 0.2500], [0.2500, 0.2500, 0.7500], [0.2500, 0.7500, 0.2500], [0.7500, 0.2500, 0.2500], [0.7500, 0.7500, 0.7500], [0.0000, 0.0000, 0.5000], [0.0000, 0.5000, 0.0000], [0.5000, 0.0000, 0.0000], [0.5000, 0.5000, 0.5000]], "e_tot_ev_per_atom": -46.828, "raw_formation_energy_ev_per_atom": 0.3110, "spacegroup": "F-43m (216)"}

=====

[3]
{"formula": "CaNd2BeO5", "functional": "meta-GGA SCAN", "state": "PBEsol geometry", "cell": [[9.3759, 0.0000, 0.0000], [0.0000, 6.4272, 0.0000], [0.0000, 0.0000, 7.1530]], "species": ["Ca", "Ca", "Ca", "Ca", "Nd", "Nd", "Nd", "Nd", "Nd", "Nd", "Nd", "Nd", "Be", "Be", "Be", "Be", "O", "O", "O", "O", "O", "O", "O", "O", "O", "O", "O", "O", "O", "O", "O", "O", "O", "O", "O", "O"], "frac_coords": [[0.1766, 0.0786, 0.0000], [0.3234, 0.5786, 0.5000], [0.6766, 0.4214, 0.0000], [0.8234, 0.9214, 0.5000], [0.0237, 0.5981, 0.7669], [0.1710, 0.0732, 0.5477], [0.3290, 0.5732, 0.0477], [0.4763, 0.0981, 0.2669], [0.5237, 0.9019, 0.7669], [0.6710, 0.4268, 0.5477], [0.8290, 0.9268, 0.0477], [0.9763, 0.4019, 0.2669], [0.1048, 0.8069, 0.2691], [0.3952, 0.3069, 0.7691], [0.6048, 0.6931, 0.2691], [0.8952, 0.1931, 0.7691], [0.0119, 0.0211, 0.2715], [0.0709, 0.6881, 0.0773], [0.0743, 0.6935, 0.4637], [0.2212, 0.3587, 0.7703], [0.2273, 0.3319, 0.2697], [0.2727, 0.8319, 0.7697], [0.2788, 0.8587, 0.2703], [0.4257, 0.1935, 0.9637], [0.4291, 0.1881, 0.5773], [0.4881, 0.5211, 0.7715], [0.5119, 0.4789, 0.2715], [0.5709, 0.8119, 0.0773], [0.5743, 0.8065, 0.4637], [0.7212, 0.1413, 0.7703], [0.7273, 0.1681, 0.2697], [0.7727, 0.6681, 0.7697], [0.7788, 0.6413, 0.2703], [0.9257, 0.3065, 0.9637], [0.9291, 0.3119, 0.5773], [0.9881, 0.9789, 0.7715]], "e_tot_ev_per_atom": -18.160, "raw_formation_energy_ev_per_atom": -3.4558, "spacegroup": "Pna2_1 (33)"}

=====

[4]
{"formula": "Rb3TmO3", "functional": "meta-GGA SCAN", "state": "PBEsol geometry", "cell": [[3.7755, -6.0775, 0.0000], [3.7755, 6.0775, 0.0000], [-1.1781, 0.0000, 7.0147]], "species": ["Rb", "Rb", "Rb", "Rb", "Rb", "Rb", "Tm", "Tm", "O", "O", "O", "O", "O", "O"], "frac_coords": [[0.2052, 0.7948, 0.0000], [0.2587, 0.7413, 0.5000], [0.3604, 0.3604, 0.1397], [0.6396, 0.6396, 0.8603], [0.7413, 0.2587, 0.5000], [0.7948, 0.2052, 0.0000], [0.1781, 0.1781, 0.6483], [0.8219, 0.8219, 0.3517], [0.1015, 0.1015, 0.3445], [0.1675, 0.4467, 0.7682], [0.4467, 0.1675, 0.7682], [0.5533, 0.8325, 0.2318], [0.8325, 0.5533, 0.2318], [0.8985, 0.8985, 0.6555]], "e_tot_ev_per_atom": -21.131, "raw_formation_energy_ev_per_atom": -2.1672, "spacegroup": "C2/m (12)", "polymorph_energy_mev_per_atom": 10.2}

=====

[5]
{"formula": "Y2AsRu", "functional": "meta-GGA SCAN", "state": "PBEsol geometry", "cell": [[3.5250, 0.0000, 0.0000], [0.0000, 3.5250, 0.0000], [0.0000, 0.0000, 6.5199]], "species": ["Y", "Y", "As", "Ru"], "frac_coords": [[0.0000, 0.0000, 0.2474], [0.0000, 0.0000, 0.7526], [0.5000, 0.5000, 0.5000], [0.5000, 0.5000, 0.0000]], "e_tot_ev_per_atom": -28.500, "formation_enthalpy_0k_ev_per_atom": -0.825, "spacegroup": "P4/mmm (123)"}

=====

[6]
{"formula": "ZrPbAu2", "functional": "meta-GGA SCAN", "state": "PBEsol geometry", "cell": [[3.3720, 0.0000, 0.0000], [-1.6860, 2.9202, 0.0000], [0.0000, 0.0000, 26.0466]], "species": ["Zr", "Zr", "Zr", "Pb", "Pb", "Pb", "Au", "Au", "Au", "Au", "Au", "Au"], "frac_coords": [[0.0000, 0.0000, 0.0000], [0.3333, 0.6667, 0.6667], [0.6667, 0.3333, 0.3333], [0.0000, 0.0000, 0.7627], [0.3333, 0.6667, 0.4294], [0.6667, 0.3333, 0.0960], [0.0000, 0.0000, 0.2570], [0.0000, 0.0000, 0.5136], [0.3333, 0.6667, 0.1802], [0.3333, 0.6667, 0.9237], [0.6667, 0.3333, 0.5904], [0.6667, 0.3333, 0.8469]], "e_tot_ev_per_atom": -61.327, "formation_enthalpy_0k_ev_per_atom": -0.129, "spacegroup": "R3m (160)"}

=====

What did the first record say?
{"formula": "Ba2TiS4", "functional": "meta-GGA SCAN", "state": "PBEsol geometry", "cell": [[9.0399, 0.0000, 0.0000], [0.0000, 6.7211, 0.0000], [0.0000, 0.0000, 12.2869]], "species": ["Ba", "Ba", "Ba", "Ba", "Ba", "Ba", "Ba", "Ba", "Ti", "Ti", "Ti", "Ti", "S", "S", "S", "S", "S", "S", "S", "S", "S", "S", "S", "S", "S", "S", "S", "S"], "frac_coords": [[0.0243, 0.2500, 0.1721], [0.1320, 0.7500, 0.4194], [0.3680, 0.2500, 0.9194], [0.4757, 0.7500, 0.6721], [0.5243, 0.2500, 0.3279], [0.6320, 0.7500, 0.0806], [0.8680, 0.2500, 0.5806], [0.9757, 0.7500, 0.8279], [0.2282, 0.7500, 0.0737], [0.2718, 0.2500, 0.5737], [0.7282, 0.7500, 0.4263], [0.7718, 0.2500, 0.9263], [0.0191, 0.2500, 0.9065], [0.1663, 0.5115, 0.6512], [0.1663, 0.9885, 0.6512], [0.1913, 0.2500, 0.4008], [0.3087, 0.7500, 0.9008], [0.3337, 0.0115, 0.1512], [0.3337, 0.4885, 0.1512], [0.4809, 0.7500, 0.4065], [0.5191, 0.2500, 0.5935], [0.6663, 0.5115, 0.8488], [0.6663, 0.9885, 0.8488], [0.6913, 0.2500, 0.0992], [0.8087, 0.7500, 0.5992], [0.8337, 0.0115, 0.3488], [0.8337, 0.4885, 0.3488], [0.9809, 0.7500, 0.0935]], "e_tot_ev_per_atom": -21.173, "raw_formation_energy_ev_per_atom": -2.0813, "spacegroup": "Pnma (62)"}

=====

What did the first record say?
{"formula": "Ba2TiS4", "functional": "meta-GGA SCAN", "state": "PBEsol geometry", "cell": [[9.0399, 0.0000, 0.0000], [0.0000, 6.7211, 0.0000], [0.0000, 0.0000, 12.2869]], "species": ["Ba", "Ba", "Ba", "Ba", "Ba", "Ba", "Ba", "Ba", "Ti", "Ti", "Ti", "Ti", "S", "S", "S", "S", "S", "S", "S", "S", "S", "S", "S", "S", "S", "S", "S", "S"], "frac_coords": [[0.0243, 0.2500, 0.1721], [0.1320, 0.7500, 0.4194], [0.3680, 0.2500, 0.9194], [0.4757, 0.7500, 0.6721], [0.5243, 0.2500, 0.3279], [0.6320, 0.7500, 0.0806], [0.8680, 0.2500, 0.5806], [0.9757, 0.7500, 0.8279], [0.2282, 0.7500, 0.0737], [0.2718, 0.2500, 0.5737], [0.7282, 0.7500, 0.4263], [0.7718, 0.2500, 0.9263], [0.0191, 0.2500, 0.9065], [0.1663, 0.5115, 0.6512], [0.1663, 0.9885, 0.6512], [0.1913, 0.2500, 0.4008], [0.3087, 0.7500, 0.9008], [0.3337, 0.0115, 0.1512], [0.3337, 0.4885, 0.1512], [0.4809, 0.7500, 0.4065], [0.5191, 0.2500, 0.5935], [0.6663, 0.5115, 0.8488], [0.6663, 0.9885, 0.8488], [0.6913, 0.2500, 0.0992], [0.8087, 0.7500, 0.5992], [0.8337, 0.0115, 0.3488], [0.8337, 0.4885, 0.3488], [0.9809, 0.7500, 0.0935]], "e_tot_ev_per_atom": -21.173, "raw_formation_energy_ev_per_atom": -2.0813, "spacegroup": "Pnma (62)"}

=====

What did the fifth record say?
{"formula": "Y2AsRu", "functional": "meta-GGA SCAN", "state": "PBEsol geometry", "cell": [[3.5250, 0.0000, 0.0000], [0.0000, 3.5250, 0.0000], [0.0000, 0.0000, 6.5199]], "species": ["Y", "Y", "As", "Ru"], "frac_coords": [[0.0000, 0.0000, 0.2474], [0.0000, 0.0000, 0.7526], [0.5000, 0.5000, 0.5000], [0.5000, 0.5000, 0.0000]], "e_tot_ev_per_atom": -28.500, "formation_enthalpy_0k_ev_per_atom": -0.825, "spacegroup": "P4/mmm (123)"}